1.
VASP calculation (GGA-PBE) on an optimized crystal structure of Cs2CdHg.

Cell lengths 4.6460, 4.6460, 9.3068 Å; angles 90.00, 90.00, 90.00 degrees
Atoms (fractional coordinates):
1 Cs 0.0000 0.0000 0.2458
2 Cs 0.0000 0.0000 0.7542
3 Cd 0.5000 0.5000 0.5000
4 Hg 0.5000 0.5000 0.0000

Values from the calculation:
- final energy (eV/cell) = -3.2
- formation enthalpy at 0 K (eV/atom) = -0.08
- energy above the lowest structure with this stoichiometry (meV per atom) = 73
- volume (Å³/cell) = 200.9

---

2.
VASP calculation (GGA-PBE) on an optimized crystal structure of MnZn3Pd3.

Cell lengths 5.2821, 5.2821, 5.2821 Å; angles 109.52, 109.52, 109.52 degrees
Atoms (fractional coordinates):
1 Mn 0.0000 0.0000 0.0000
2 Zn 0.0000 0.5000 0.5000
3 Zn 0.5000 0.0000 0.5000
4 Zn 0.5000 0.5000 0.0000
5 Pd 0.0000 0.0000 0.5000
6 Pd 0.0000 0.5000 0.0000
7 Pd 0.5000 0.0000 0.0000

Values from the calculation:
- final energy (eV/cell) = -30.8
- formation enthalpy at 0 K (eV/atom) = -0.32
- volume (Å³/cell) = 113.3

---

3.
VASP calculation (GGA-PBE) on an optimized crystal structure of NaTcO3.

Cell lengths 7.3679, 7.3679, 4.8191 Å; angles 92.04, 92.04, 84.25 degrees
Atoms (fractional coordinates):
1 Na 0.1061 0.3264 0.3219
2 Na 0.3264 0.1061 0.8219
3 Na 0.6736 0.8939 0.1781
4 Na 0.8939 0.6736 0.6781
5 Tc 0.2227 0.7773 0.2500
6 Tc 0.4412 0.5588 0.7500
7 Tc 0.5588 0.4412 0.2500
8 Tc 0.7773 0.2227 0.7500
9 O 0.0072 0.2286 0.8705
10 O 0.1961 0.6201 0.5486
11 O 0.2286 0.0072 0.3705
12 O 0.3041 0.4852 0.0779
13 O 0.3799 0.8039 0.9514
14 O 0.4852 0.3041 0.5779
15 O 0.5148 0.6959 0.4221
16 O 0.6201 0.1961 0.0486
17 O 0.6959 0.5148 0.9221
18 O 0.7714 0.9928 0.6295
19 O 0.8039 0.3799 0.4514
20 O 0.9928 0.7714 0.1295

Values from the calculation:
- final energy (eV/cell) = -136.7
- raw formation energy (eV per atom) = -1.521
- volume (Å³/cell) = 260.0

---

4.
VASP calculation (GGA-PBE) on an optimized crystal structure of Pm2AsIr.

Cell lengths 3.5479, 3.5479, 7.4107 Å; angles 90.00, 90.00, 90.00 degrees
Atoms (fractional coordinates):
1 Pm 0.0000 0.0000 0.2367
2 Pm 0.0000 0.0000 0.7633
3 As 0.5000 0.5000 0.5000
4 Ir 0.5000 0.5000 0.0000

Values from the calculation:
- final energy (eV/cell) = -26.3
- formation enthalpy at 0 K (eV/atom) = -0.82
- energy above the lowest structure with this stoichiometry (meV per atom) = 70
- volume (Å³/cell) = 93.3